PBEsol LaMn3Tc, optimized geometry; total energy = -8.3940 eV per atom; magnetization = 7.931 μB/cell; calculated volume = 97.0 Å³/f.u.; crystal system = cubic
1.0
4.595 0.000 0.000
0.000 4.595 0.000
0.000 0.000 4.595
La Mn Tc
1 3 1
Direct
0.000 0.000 0.000 La
0.000 0.500 0.500 Mn
0.500 0.000 0.500 Mn
0.500 0.500 0.000 Mn
0.500 0.500 0.500 Tc

=====

PBEsol La2MnTc, optimized geometry; total energy = -7.4212 eV per atom; magnetization = 3.943 μB/cell; calculated volume = 85.3 Å³/f.u.; crystal system = tetragonal
1.0
-2.176 2.176 4.502
2.176 -2.176 4.502
2.176 2.176 -4.502
La Mn Tc
2 1 1
Direct
0.000 0.000 0.000 La
0.750 0.250 0.500 La
0.500 0.500 0.000 Mn
0.250 0.750 0.500 Tc

=====

PBEsol LaMnTe4, optimized geometry; total energy = -4.6659 eV per atom; magnetization = 4.677 μB/cell; calculated volume = 173.2 Å³/f.u.; crystal system = cubic
1.0
0.000 4.424 4.424
4.424 0.000 4.424
4.424 4.424 0.000
La Mn Te
1 1 4
Direct
0.000 0.000 0.000 La
0.750 0.750 0.750 Mn
0.375 0.375 0.375 Te
0.375 0.375 0.874 Te
0.375 0.874 0.375 Te
0.874 0.375 0.375 Te

=====

PBEsol La3TiMn, optimized geometry; total energy = -6.3066 eV per atom; magnetization = 3.142 μB/cell; calculated volume = 140.5 Å³/f.u.; crystal system = cubic
1.0
5.199 0.000 0.000
0.000 5.199 0.000
0.000 0.000 5.199
La Ti Mn
3 1 1
Direct
0.000 0.000 0.500 La
0.000 0.500 0.000 La
0.500 0.000 0.000 La
0.500 0.500 0.500 Ti
0.000 0.000 0.000 Mn

=====

PBEsol LaMnTl3, optimized geometry; total energy = -4.5336 eV per atom; magnetization = 2.368 μB/cell; calculated volume = 129.0 Å³/f.u.; crystal system = cubic
1.0
5.053 0.000 0.000
0.000 5.053 0.000
0.000 0.000 5.053
La Mn Tl
1 1 3
Direct
0.000 0.000 0.000 La
0.500 0.500 0.500 Mn
0.000 0.500 0.500 Tl
0.500 0.000 0.500 Tl
0.500 0.500 0.000 Tl

=====

PBEsol LaMn2Tl, optimized geometry; total energy = -6.4366 eV per atom; magnetization = 6.156 μB/cell; polymorph energy (0 for the lowest one) = 0 meV/atom; calculated volume = 81.5 Å³/f.u.; crystal system = orthorhombic
1.0
-1.595 2.411 5.300
1.595 -2.411 5.300
1.595 2.411 -5.300
La Mn Tl
1 2 1
Direct
0.000 0.000 0.000 La
0.505 0.505 0.000 Mn
0.707 0.207 0.500 Mn
0.279 0.779 0.500 Tl

=====

PBEsol LaMn2Tl, optimized geometry; total energy = -6.4050 eV per atom; magnetization = 6.742 μB/cell; polymorph energy (0 for the lowest one) = 32 meV/atom; calculated volume = 82.6 Å³/f.u.; crystal system = tetragonal
1.0
3.420 0.000 0.000
0.000 3.420 0.000
0.000 0.000 7.063
La Mn Tl
1 2 1
Direct
0.000 0.000 0.000 La
0.500 0.500 0.288 Mn
0.500 0.500 0.712 Mn
0.000 0.000 0.500 Tl

=====

PBEsol LaMnW, optimized geometry; total energy = -7.7196 eV per atom; magnetization = 1.607 μB/cell; polymorph energy (0 for the lowest one) = 1137 meV/atom; calculated volume = 62.2 Å³/f.u.; crystal system = cubic
1.0
0.000 3.145 3.145
3.145 0.000 3.145
3.145 3.145 0.000
La Mn W
1 1 1
Direct
0.000 0.000 0.000 La
0.750 0.750 0.750 Mn
0.250 0.250 0.250 W

=====

PBEsol LaMnW, optimized geometry; total energy = -8.8570 eV per atom; magnetization = 0.776 μB/cell; polymorph energy (0 for the lowest one) = 0 meV/atom; calculated volume = 56.7 Å³/f.u.; crystal system = trigonal
1.0
3.071 0.000 0.000
-1.535 2.660 0.000
0.000 0.000 6.944
La Mn W
1 1 1
Direct
0.000 0.000 0.000 La
0.333 0.667 0.628 Mn
0.667 0.333 0.402 W

=====

PBEsol LaMnW3, optimized geometry; total energy = -8.2153 eV per atom; magnetization = 2.654 μB/cell; calculated volume = 107.0 Å³/f.u.; crystal system = cubic
1.0
4.747 0.000 0.000
0.000 4.747 0.000
0.000 0.000 4.747
La Mn W
1 1 3
Direct
0.000 0.000 0.000 La
0.500 0.500 0.500 Mn
0.000 0.000 0.500 W
0.000 0.500 0.000 W
0.500 0.000 0.000 W

=====

PBEsol La3MnW, optimized geometry; total energy = -6.9627 eV per atom; magnetization = 2.966 μB/cell; calculated volume = 130.1 Å³/f.u.; crystal system = cubic
1.0
5.067 0.000 0.000
0.000 5.067 0.000
0.000 0.000 5.067
La Mn W
3 1 1
Direct
0.000 0.000 0.500 La
0.000 0.500 0.000 La
0.500 0.000 0.000 La
0.000 0.000 0.000 Mn
0.500 0.500 0.500 W

=====

PBEsol LaYMn, optimized geometry; total energy = -7.0147 eV per atom; magnetization = 2.291 μB/cell; calculated volume = 77.9 Å³/f.u.; crystal system = tetragonal
1.0
-1.731 1.731 6.501
1.731 -1.731 6.501
1.731 1.731 -6.501
La Y Mn
1 1 1
Direct
0.000 0.000 0.000 La
0.267 0.267 0.000 Y
0.639 0.639 0.000 Mn

=====

PBEsol LaY2Mn, optimized geometry; total energy = -6.8469 eV per atom; magnetization = 3.311 μB/cell; calculated volume = 106.7 Å³/f.u.; crystal system = tetragonal
1.0
-2.365 2.365 4.768
2.365 -2.365 4.768
2.365 2.365 -4.768
La Y Mn
1 2 1
Direct
0.000 0.000 0.000 La
0.250 0.750 0.500 Y
0.500 0.500 0.000 Y
0.750 0.250 0.500 Mn

=====

PBEsol LaMn2Zn2, optimized geometry; total energy = -5.4289 eV per atom; magnetization = 5.465 μB/cell; calculated volume = 89.1 Å³/f.u.; crystal system = tetragonal
1.0
-2.006 2.006 5.536
2.006 -2.006 5.536
2.006 2.006 -5.536
La Mn Zn
1 2 2
Direct
0.000 0.000 0.000 La
0.389 0.389 0.000 Mn
0.611 0.611 0.000 Mn
0.250 0.750 0.500 Zn
0.750 0.250 0.500 Zn

=====

PBEsol LaMnZn, optimized geometry; total energy = -5.3931 eV per atom; magnetization = 2.954 μB/cell; calculated volume = 60.3 Å³/f.u.; crystal system = tetragonal
1.0
-1.644 1.644 5.583
1.644 -1.644 5.583
1.644 1.644 -5.583
La Mn Zn
1 1 1
Direct
0.000 0.000 0.000 La
0.691 0.691 0.000 Mn
0.293 0.293 0.000 Zn